[1]
# GGA-PBE Co2Ni3Ir2, optimized geometry
# D(E_F), states/eV/cell: 10.77
# Total magnetic moment, μB per formula unit: 5.7
# ΔE_f, eV/atom: 0.25
# Energy, eV for the cell shown: -47.56
data_Co2Ni3Ir2
_chemical_formula_sum 'Co2 Ni3 Ir2'
_cell_length_a 2.565
_cell_length_b 4.509
_cell_length_c 7.543
_cell_angle_alpha 90.00
_cell_angle_beta 90.00
_cell_angle_gamma 90.00
_symmetry_space_group_name_H-M 'P m m m'
_symmetry_Int_Tables_number 47
loop_
_symmetry_equiv_pos_as_xyz
'x,y,z'
'-x,-y,-z'
'-x,-y,z'
'x,y,-z'
'x,-y,-z'
'-x,y,z'
'-x,y,-z'
'x,-y,z'
loop_
_atom_site_label
_atom_site_type_symbol
_atom_site_fract_x
_atom_site_fract_y
_atom_site_fract_z
_atom_site_occupancy
Co1 Co 0.000 0.000 0.230 1
Ni1 Ni 0.500 0.000 0.500 1
Ni2 Ni 0.500 0.256 0.000 1
Ir1 Ir 0.500 0.500 0.321 1

---

[2]
# GGA-PBE BiPdIN2, optimized geometry
# D(E_F), states/eV/cell: 5.02
# Total magnetic moment, μB per formula unit: 1.7
# ΔE_f (raw), eV per atom: 1.5860
# Energy, eV for the cell shown: -19.34
# Energy above the most stable polymorph in this dataset, meV per atom: 37
data_BiPdIN2
_chemical_formula_sum 'Bi1 Pd1 I1 N2'
_cell_length_a 4.226
_cell_length_b 4.226
_cell_length_c 7.216
_cell_angle_alpha 90.00
_cell_angle_beta 90.00
_cell_angle_gamma 90.00
_symmetry_space_group_name_H-M 'P 4/m m m'
_symmetry_Int_Tables_number 123
_symmetry_space_group_name_Hall '-P 4 2'
loop_
_atom_site_label
_atom_site_type_symbol
_atom_site_fract_x
_atom_site_fract_y
_atom_site_fract_z
_atom_site_occupancy
Bi1 Bi 0.000 0.000 0.000 1
Pd1 Pd 0.500 0.500 0.500 1
I1 I 0.000 0.000 0.500 1
N1 N 0.000 0.500 0.000 1

---

[3]
# GGA-PBE Cr2Cu, optimized geometry
# D(E_F), states/eV/cell: 11.59
# Total magnetic moment, μB per formula unit: 0.0
# ΔE_f, eV/atom: 0.47
# Energy, eV for the cell shown: -87.69
data_Cr2Cu
_chemical_formula_sum 'Cr8 Cu4'
_cell_length_a 5.661
_cell_length_b 5.661
_cell_length_c 4.607
_cell_angle_alpha 90.00
_cell_angle_beta 90.00
_cell_angle_gamma 90.00
_symmetry_space_group_name_H-M 'I 4/m c m'
_symmetry_Int_Tables_number 140
_symmetry_space_group_name_Hall '-I 4 2c'
loop_
_atom_site_label
_atom_site_type_symbol
_atom_site_fract_x
_atom_site_fract_y
_atom_site_fract_z
_atom_site_occupancy
Cr1 Cr 0.130 0.370 0.000 1
Cu1 Cu 0.000 0.000 0.250 1

---

[4]
# GGA-PBE LaTbDyMg, optimized geometry
# D(E_F), states/eV/cell: 22.83
# Total magnetic moment, μB per formula unit: 0.0
# ΔE_f, eV/atom: 0.04
# Energy, eV for the cell shown: -62.35
# Energy above the most stable polymorph in this dataset, meV per atom: 64
data_LaTbDyMg
_chemical_formula_sum 'La4 Tb4 Dy4 Mg4'
_cell_length_a 7.933
_cell_length_b 7.933
_cell_length_c 7.933
_cell_angle_alpha 90.00
_cell_angle_beta 90.00
_cell_angle_gamma 90.00
_symmetry_space_group_name_H-M 'F -4 3 m'
_symmetry_Int_Tables_number 216
_symmetry_space_group_name_Hall 'F -4 2 3'
loop_
_atom_site_label
_atom_site_type_symbol
_atom_site_fract_x
_atom_site_fract_y
_atom_site_fract_z
_atom_site_occupancy
La1 La 0.000 0.000 0.000 1
Tb1 Tb 0.250 0.250 0.250 1
Dy1 Dy 0.000 0.000 0.500 1
Mg1 Mg 0.250 0.250 0.750 1

---

[5]
# GGA-PBE TlGeCl3, optimized geometry
# D(E_F), states/eV/cell: 0.00
# Total magnetic moment, μB per formula unit: 0.0
# ΔE_f (raw), eV per atom: -0.8879
# Energy, eV for the cell shown: -33.93
data_TlGeCl3
_chemical_formula_sum 'Tl2 Ge2 Cl6'
_cell_length_a 6.445
_cell_length_b 7.450
_cell_length_c 8.416
_cell_angle_alpha 90.00
_cell_angle_beta 99.77
_cell_angle_gamma 90.00
_symmetry_space_group_name_H-M 'P 1 21/m 1'
_symmetry_Int_Tables_number 11
loop_
_symmetry_equiv_pos_as_xyz
'x,y,z'
'-x,-y,-z'
'-x,y+1/2,-z'
'x,-y+1/2,z'
loop_
_atom_site_label
_atom_site_type_symbol
_atom_site_fract_x
_atom_site_fract_y
_atom_site_fract_z
_atom_site_occupancy
Tl1 Tl 0.180 0.250 0.476 1
Ge1 Ge 0.130 0.750 0.162 1
Cl1 Cl 0.103 0.019 0.792 1
Cl2 Cl 0.304 0.750 0.439 1

---

[6]
# GGA-PBE Mg3NiP, optimized geometry
# D(E_F), states/eV/cell: 3.16
# Total magnetic moment, μB per formula unit: 0.0
# ΔE_f, eV/atom: 0.25
# Energy, eV for the cell shown: -14.71
# Energy above the most stable polymorph in this dataset, meV per atom: 0
data_Mg3NiP
_chemical_formula_sum 'Mg3 Ni1 P1'
_cell_length_a 4.697
_cell_length_b 4.697
_cell_length_c 4.697
_cell_angle_alpha 90.00
_cell_angle_beta 90.00
_cell_angle_gamma 90.00
_symmetry_space_group_name_H-M 'P m -3 m'
_symmetry_Int_Tables_number 221
_symmetry_space_group_name_Hall '-P 4 2 3'
loop_
_atom_site_label
_atom_site_type_symbol
_atom_site_fract_x
_atom_site_fract_y
_atom_site_fract_z
_atom_site_occupancy
Mg1 Mg 0.000 0.000 0.500 1
Ni1 Ni 0.000 0.000 0.000 1
P1 P 0.500 0.500 0.500 1

---

[7]
# GGA-PBE Mg2Fe2As, optimized geometry
# D(E_F), states/eV/cell: 9.97
# Total magnetic moment, μB per formula unit: 4.9
# ΔE_f, eV/atom: 0.39
# Energy, eV for the cell shown: -45.64
# Energy above the most stable polymorph in this dataset, meV per atom: 127
data_Mg2Fe2As
_chemical_formula_sum 'Mg4 Fe4 As2'
_cell_length_a 7.874
_cell_length_b 7.874
_cell_length_c 2.781
_cell_angle_alpha 90.00
_cell_angle_beta 90.00
_cell_angle_gamma 90.00
_symmetry_space_group_name_H-M 'P 4/m b m'
_symmetry_Int_Tables_number 127
_symmetry_space_group_name_Hall '-P 4 2ab'
loop_
_atom_site_label
_atom_site_type_symbol
_atom_site_fract_x
_atom_site_fract_y
_atom_site_fract_z
_atom_site_occupancy
Mg1 Mg 0.185 0.315 0.000 1
Fe1 Fe 0.104 0.604 0.500 1
As1 As 0.000 0.000 0.000 1

---

[8]
# GGA-PBE Tb5Tm2Ir4, optimized geometry
# D(E_F), states/eV/cell: 14.06
# Total magnetic moment, μB per formula unit: 0.0
# ΔE_f, eV/atom: -0.67
# Energy, eV for the cell shown: -149.92
data_Tb5Tm2Ir4
_chemical_formula_sum 'Tb10 Tm4 Ir8'
_cell_length_a 20.048
_cell_length_b 4.745
_cell_length_c 5.965
_cell_angle_alpha 90.00
_cell_angle_beta 102.06
_cell_angle_gamma 90.00
_symmetry_space_group_name_H-M 'C 1 2/m 1'
_symmetry_Int_Tables_number 12
loop_
_symmetry_equiv_pos_as_xyz
'x,y,z'
'-x,-y,-z'
'-x,y,-z'
'x,-y,z'
'x+1/2,y+1/2,z'
'-x+1/2,-y+1/2,-z'
'-x+1/2,y+1/2,-z'
'x+1/2,-y+1/2,z'
loop_
_atom_site_label
_atom_site_type_symbol
_atom_site_fract_x
_atom_site_fract_y
_atom_site_fract_z
_atom_site_occupancy
Tb1 Tb 0.000 0.000 0.000 1
Tb2 Tb 0.071 0.500 0.713 1
Tb3 Tb 0.213 0.500 0.138 1
Tm1 Tm 0.137 0.000 0.429 1
Ir1 Ir 0.073 0.500 0.223 1
Ir2 Ir 0.144 0.000 0.933 1

---

[9]
# GGA-PBE Cs3Cu2IBr6, optimized geometry
# D(E_F), states/eV/cell: 8.98
# Total magnetic moment, μB per formula unit: 2.0
# ΔE_f (raw), eV per atom: -0.8941
# Energy, eV for the cell shown: -33.07
data_Cs3Cu2IBr6
_chemical_formula_sum 'Cs3 Cu2 I1 Br6'
_cell_length_a 9.2487
_cell_length_b 9.2487
_cell_length_c 7.7810
_cell_angle_alpha 90.00
_cell_angle_beta 90.00
_cell_angle_gamma 120.00
_symmetry_space_group_name_H-M 'P -3 m 1'
_symmetry_Int_Tables_number 164
_symmetry_space_group_name_Hall '-P 3 2"'
loop_
_atom_site_label
_atom_site_type_symbol
_atom_site_fract_x
_atom_site_fract_y
_atom_site_fract_z
_atom_site_occupancy
Cs1 Cs 0.0000 0.0000 0.0000 1
Cs2 Cs 0.3333 0.6667 0.6883 1
Cu1 Cu 0.3333 0.6667 0.2281 1
I1 I 0.0000 0.0000 0.5000 1
Br1 Br 0.1893 0.3786 0.2594 1

---

[10]
# GGA-PBE DyTl2, optimized geometry
# D(E_F), states/eV/cell: 3.55
# Total magnetic moment, μB per formula unit: 0.0
# ΔE_f, eV/atom: -0.19
# Energy, eV for the cell shown: -19.81
data_DyTl2
_chemical_formula_sum 'Dy2 Tl4'
_cell_length_a 5.4061
_cell_length_b 5.4061
_cell_length_c 6.5477
_cell_angle_alpha 90.00
_cell_angle_beta 90.00
_cell_angle_gamma 120.00
_symmetry_space_group_name_H-M 'P 63/m m c'
_symmetry_Int_Tables_number 194
_symmetry_space_group_name_Hall '-P 6c 2c'
loop_
_atom_site_label
_atom_site_type_symbol
_atom_site_fract_x
_atom_site_fract_y
_atom_site_fract_z
_atom_site_occupancy
Dy1 Dy 0.3333 0.6667 0.2500 1
Tl1 Tl 0.0000 0.0000 0.0000 1
Tl2 Tl 0.3333 0.6667 0.7500 1